Material: SrLi2In
Method: DFT, PBE-GGA
State: optimized geometry

Properties
DFT formation energy = -130.7 meV/atom
Crystal system = monoclinic

The structure in CIF format:
```
data_SrLi2In
_chemical_formula_sum 'Sr1 Li2 In1'
_symmetry_space_group_name_H-M 'P 1 2/m 1'
_symmetry_Int_Tables_number 10
_cell_length_a 3.642
_cell_length_b 5.134
_cell_length_c 6.102
_cell_angle_alpha 90.00
_cell_angle_beta 95.70
_cell_angle_gamma 90.00
loop_
_symmetry_equiv_pos_as_xyz
'x,y,z'
'-x,-y,-z'
'-x,y,-z'
'x,-y,z'
loop_
_atom_site_label
_atom_site_fract_x
_atom_site_fract_y
_atom_site_fract_z
Sr1 0.000 0.000 0.000
Li1 0.299 0.500 0.684
In1 0.500 0.000 0.500
```